--- P ---
NbSiBr2 | Alexandria | PBE | relaxed; symmetry = Fm-3m; total moment = 0.00 μB/atom
1.0
0.0000 3.3627 3.3627
3.3627 0.0000 3.3627
3.3627 3.3627 0.0000
Nb Si Br
1 1 2
direct
0.0000 0.0000 0.0000 Nb
0.5000 0.5000 0.5000 Si
0.2500 0.2500 0.2500 Br
0.7500 0.7500 0.7500 Br

---

--- Q ---
NbSiBr2 | Alexandria | PBE | relaxed; symmetry = I-42d; total moment = 0.28 μB/atom
1.0
-4.7749 4.7749 2.5227
4.7749 -4.7749 2.5227
4.7749 4.7749 -2.5227
Nb Si Br
2 2 4
direct
0.0000 0.0000 0.0000 Nb
0.7500 0.2500 0.5000 Nb
0.2500 0.7500 0.5000 Si
0.5000 0.5000 0.0000 Si
0.3750 0.2271 0.3521 Br
0.7729 0.1250 0.1479 Br
0.8750 0.0229 0.6479 Br
0.9771 0.6250 0.8521 Br

---

--- R ---
NbSiBr2 | Alexandria | PBE | relaxed; symmetry = R-3m; total moment = 0.00 μB/atom
1.0
1.6129 0.9312 11.9119
-1.6129 0.9312 11.9119
0.0000 -1.8624 11.9119
Nb Si Br
1 1 2
direct
0.0000 0.0000 0.0000 Nb
0.5000 0.5000 0.5000 Si
0.3872 0.3872 0.3872 Br
0.6128 0.6128 0.6128 Br

---

R is the most stable structure; the next one sits 7.4 kJ/mol of atoms above it.

---

--- P ---
Nb2SnBr | Alexandria | PBE | relaxed; symmetry = Fm-3m; total moment = 0.23 μB/atom
1.0
0.0000 3.3934 3.3934
3.3934 0.0000 3.3934
3.3934 3.3934 0.0000
Nb Sn Br
2 1 1
direct
0.2500 0.2500 0.2500 Nb
0.7500 0.7500 0.7500 Nb
0.0000 0.0000 0.0000 Sn
0.5000 0.5000 0.5000 Br

---

--- Q ---
Nb2SnBr | Alexandria | PBE | relaxed; symmetry = I-42d; total moment = 0.00 μB/atom
1.0
-2.1020 2.1020 9.8506
2.1020 -2.1020 9.8506
2.1020 2.1020 -9.8506
Nb Sn Br
4 2 2
direct
0.1208 0.6250 0.9958 Nb
0.3750 0.3708 0.4958 Nb
0.6292 0.1250 0.0042 Nb
0.8750 0.8792 0.5042 Nb
0.2500 0.7500 0.5000 Sn
0.5000 0.5000 0.0000 Sn
0.0000 0.0000 0.0000 Br
0.7500 0.2500 0.5000 Br

---

P is the most stable structure; the next one sits 27.5 kJ/mol of atoms above it.

---

--- P ---
SrNbBr3 | Alexandria | PBE | relaxed; symmetry = Pm-3m; total moment = 0.67 μB/atom
1.0
5.4327 0.0000 0.0000
0.0000 5.4327 0.0000
0.0000 0.0000 5.4327
Sr Nb Br
1 1 3
direct
0.0000 0.0000 0.0000 Sr
0.5000 0.5000 0.5000 Nb
0.0000 0.5000 0.5000 Br
0.5000 0.0000 0.5000 Br
0.5000 0.5000 0.0000 Br

---

--- Q ---
SrNbBr3 | Alexandria | PBE | relaxed; symmetry = Pm-3m; total moment = 0.80 μB/atom
1.0
5.8634 0.0000 0.0000
0.0000 5.8634 0.0000
0.0000 0.0000 5.8634
Sr Nb Br
1 1 3
direct
0.0000 0.0000 0.0000 Sr
0.5000 0.5000 0.5000 Nb
0.0000 0.0000 0.5000 Br
0.0000 0.5000 0.0000 Br
0.5000 0.0000 0.0000 Br

---

P is the most stable structure; the next one sits 33.2 kJ/mol of atoms above it.

---

--- P ---
Sr2NbBr2 | Alexandria | PBE | relaxed; symmetry = I4/mmm; total moment = 1.00 μB/atom
1.0
-2.4388 2.4388 7.8041
2.4388 -2.4388 7.8041
2.4388 2.4388 -7.8041
Sr Nb Br
2 1 2
direct
0.1281 0.1281 0.0000 Sr
0.8719 0.8719 0.0000 Sr
0.5000 0.5000 0.0000 Nb
0.2500 0.7500 0.5000 Br
0.7500 0.2500 0.5000 Br

---

--- Q ---
Sr2NbBr2 | Alexandria | PBE | relaxed; symmetry = P4/mbm; total moment = 0.00 μB/atom
1.0
8.7312 0.0000 0.0000
0.0000 8.7312 0.0000
0.0000 0.0000 3.6955
Sr Nb Br
4 2 4
direct
0.1700 0.3300 0.0000 Sr
0.3300 0.8300 0.0000 Sr
0.6700 0.1700 0.0000 Sr
0.8300 0.6700 0.0000 Sr
0.0000 0.0000 0.5000 Nb
0.5000 0.5000 0.5000 Nb
0.1357 0.6357 0.5000 Br
0.3643 0.1357 0.5000 Br
0.6357 0.8643 0.5000 Br
0.8643 0.3643 0.5000 Br

---

--- R ---
Sr2NbBr2 | Alexandria | PBE | relaxed; symmetry = P4/mbm; total moment = 0.95 μB/atom
1.0
9.3039 0.0000 0.0000
0.0000 9.3039 0.0000
0.0000 0.0000 3.7435
Sr Nb Br
4 2 4
direct
0.1720 0.3280 0.0000 Sr
0.3280 0.8280 0.0000 Sr
0.6720 0.1720 0.0000 Sr
0.8280 0.6720 0.0000 Sr
0.0000 0.0000 0.0000 Nb
0.5000 0.5000 0.0000 Nb
0.1268 0.6268 0.5000 Br
0.3732 0.1268 0.5000 Br
0.6268 0.8732 0.5000 Br
0.8732 0.3732 0.5000 Br

---

P is the most stable structure; the next one sits 4.2 kJ/mol of atoms above it.